The following is a GGA-PBEsol calculation of a relaxed Mg2InSe crystal, from Alexandria via LeMat-Bulk.

abc: 3.6613 4.0823 6.5159
angles: 106.41 90.00 90.00
Last column: nearest neighbours and their distance in Å.
Atoms (fractional coordinates):
Mg  0.0000  0.8473  0.7533  2 Se 2.65
Mg  0.0000  0.1527  0.2467  2 Se 2.65
In  0.5000  0.5000  0.0000  8 Mg 3.04-3.26, 2 Se 3.32
Se  0.5000  0.0000  0.5000  4 Mg 2.65

Results
space group	P2/m
raw total energy	-2.95	eV per atom
calculated volume	23.36	Å³ per atom
excess energy over the best structure of this formula in the dataset	69	meV/atom

The following is a GGA-PBEsol calculation of a relaxed CaSiP2 crystal, from Alexandria via LeMat-Bulk.

abc: 3.7125 4.5549 5.1174
angles: 111.24 90.00 114.05
Last column: nearest neighbours and their distance in Å.
Atoms (fractional coordinates):
P  0.2155  0.4309  0.1280  2 P 2.47, 3 Si 2.48-2.69
P  0.7845  0.5691  0.8720  2 P 2.47, 3 Si 2.48-2.69
Ca  0.0000  0.0000  0.5000  8 P 3.00-3.09, 4 Si 3.16
Si  0.5000  0.0000  0.0000  6 P 2.48-2.69

Results
space group	C2/m
raw total energy	-5.17	eV per atom
calculated volume	18.13	Å³ per atom

The following is a GGA-PBEsol calculation of a relaxed LiReAu2 crystal, from Alexandria via LeMat-Bulk.

abc: 2.6455 4.6923 5.2492
angles: 95.60 90.00 106.37
Last column: nearest neighbours and their distance in Å.
Atoms (fractional coordinates):
Au  0.7433  0.4867  0.7503  6 Au 2.65-2.96, 3 Li 2.66-2.86, 3 Re 2.77
Li  0.5000  0.0000  0.0000  2 Li 2.65, 6 Au 2.66-2.86, 4 Re 2.94
Re  0.0000  0.0000  0.5000  2 Re 2.65, 6 Au 2.77, 4 Li 2.94
Au  0.2567  0.5133  0.2497  6 Au 2.65-2.96, 3 Li 2.66-2.86, 3 Re 2.77

Results
space group	C2/m
raw total energy	-5.45	eV per atom
formation energy from the elements	0.336	eV/atom
calculated volume	15.55	Å³ per atom
excess energy over the best structure of this formula in the dataset	78	meV/atom

The following is a GGA-PBEsol calculation of a relaxed K2PAu crystal, from Alexandria via LeMat-Bulk.

abc: 6.0884 6.0884 6.0503
angles: 90.00 90.00 105.61
Last column: nearest neighbours and their distance in Å.
Atoms (fractional coordinates):
K  0.6818  0.0269  0.2500  4 P 3.27-3.54, 1 K 3.35, 2 Au 3.45
K  0.9731  0.3182  0.7500  4 P 3.27-3.54, 1 K 3.35, 2 Au 3.45
Au  0.5000  0.5000  0.0000  2 P 2.39
P  0.7514  0.7514  0.7500  2 Au 2.39
P  0.2486  0.2486  0.2500  2 Au 2.39
K  0.3182  0.9731  0.7500  4 P 3.27-3.54, 1 K 3.35, 2 Au 3.45
K  0.0269  0.6818  0.2500  4 P 3.27-3.54, 1 K 3.35, 2 Au 3.45
Au  0.5000  0.5000  0.5000  2 P 2.39

Results
space group	Cmcm
raw total energy	-3.46	eV per atom
formation energy from the elements	-0.466	eV/atom
calculated volume	27.00	Å³ per atom

The following is a GGA-PBEsol calculation of a relaxed AlZn2Os crystal, from Alexandria via LeMat-Bulk.

abc: 3.2923 3.2923 5.1567
angles: 90.00 90.00 90.00
Last column: nearest neighbours and their distance in Å.
Atoms (fractional coordinates):
Zn  0.0000  0.0000  0.2567  2 Zn 2.51-2.65, 4 Os 2.64, 4 Al 2.68
Al  0.5000  0.5000  0.0000  2 Os 2.58, 8 Zn 2.68
Os  0.5000  0.5000  0.5000  2 Al 2.58, 8 Zn 2.64
Zn  0.0000  0.0000  0.7433  2 Zn 2.51-2.65, 4 Os 2.64, 4 Al 2.68

Results
space group	P4/mmm
raw total energy	-4.81	eV per atom
formation energy from the elements	0.059	eV/atom
calculated volume	13.97	Å³ per atom

The following is a GGA-PBEsol calculation of a relaxed RbP2RuCl crystal, from Alexandria via LeMat-Bulk.

abc: 4.4805 4.4805 5.6421
angles: 90.00 90.00 90.00
Last column: nearest neighbours and their distance in Å.
Atoms (fractional coordinates):
Rb  0.5000  0.5000  0.5000  4 Cl 3.17
P  0.0000  0.5000  0.0000  2 Ru 2.24
Cl  0.0000  0.0000  0.5000  2 Ru 2.82
P  0.5000  0.0000  0.0000  2 Ru 2.24
Ru  0.0000  0.0000  0.0000  4 P 2.24

Results
space group	P4/mmm
raw total energy	-5.17	eV per atom
calculated volume	22.65	Å³ per atom

The following is a GGA-PBEsol calculation of a relaxed ZnSb2P crystal, from Alexandria via LeMat-Bulk.

abc: 3.7373 4.2048 6.2263
angles: 108.65 107.46 90.00
Last column: nearest neighbours and their distance in Å.
Atoms (fractional coordinates):
P  0.2636  0.2944  0.5272  1 Zn 2.48, 2 Sb 2.59
Zn  0.4854  0.4922  0.9708  1 P 2.48
Sb  0.7424  0.6987  0.4847  2 P 2.59, 1 Zn 2.88
Sb  0.0086  0.0147  0.0172  4 Zn 2.82-2.83, 1 P 2.86, 1 Sb 2.99

Results
space group	Cm
raw total energy	-4.03	eV per atom
calculated volume	21.98	Å³ per atom
excess energy over the best structure of this formula in the dataset	0	meV/atom

The following is a GGA-PBEsol calculation of a relaxed YTa2Cu crystal, from Alexandria via LeMat-Bulk.

abc: 2.9249 2.9249 8.5331
angles: 90.00 90.00 90.00
Last column: nearest neighbours and their distance in Å.
Atoms (fractional coordinates):
Ta  0.0000  0.0000  0.9754  4 Cu 2.70, 8 Ta 2.92-3.00
Ta  0.5000  0.5000  0.2296  8 Ta 2.92-3.00, 4 Y 3.24
Y  0.0000  0.0000  0.5226  4 Y 2.92, 4 Cu 2.97, 4 Ta 3.24
Cu  0.5000  0.5000  0.7724  4 Ta 2.70, 4 Cu 2.92, 4 Y 2.97

Results
space group	P4mm
raw total energy	-8.84	eV per atom
formation energy from the elements	0.227	eV/atom
calculated volume	18.25	Å³ per atom
excess energy over the best structure of this formula in the dataset	0	meV/atom

The following is a GGA-PBEsol calculation of a relaxed CsAg2BiS crystal, from Alexandria via LeMat-Bulk.

abc: 5.0592 5.0592 5.7601
angles: 90.00 90.00 90.00
Last column: nearest neighbours and their distance in Å.
Atoms (fractional coordinates):
Bi  0.0000  0.0000  0.5000  2 S 2.88
Ag  0.5000  0.0000  0.0000  2 S 2.53
Ag  0.0000  0.5000  0.0000  2 S 2.53
Cs  0.5000  0.5000  0.5000  4 Bi 3.58, 8 Ag 3.83
S  0.0000  0.0000  0.0000  4 Ag 2.53

Results
space group	P4/mmm
raw total energy	-3.01	eV per atom
calculated volume	29.49	Å³ per atom

The following is a GGA-PBEsol calculation of a relaxed ZnCd3N crystal, from Alexandria via LeMat-Bulk.

abc: 4.9778 4.9778 4.9778
angles: 90.00 90.00 90.00
Last column: nearest neighbours and their distance in Å.
Atoms (fractional coordinates):
Cd  0.0000  0.5000  0.0000  2 Zn 2.49
Cd  0.5000  0.0000  0.0000  2 Zn 2.49
N  0.5000  0.5000  0.5000  12 Cd 3.52
Zn  0.0000  0.0000  0.0000  6 Cd 2.49
Cd  0.0000  0.0000  0.5000  2 Zn 2.49

Results
space group	Pm-3m
raw total energy	-1.52	eV per atom
calculated volume	24.67	Å³ per atom

The following is a GGA-PBEsol calculation of a relaxed MgSc2 crystal, from Alexandria via LeMat-Bulk.

abc: 3.1655 5.0391 5.0391
angles: 90.00 90.00 90.00
Last column: nearest neighbours and their distance in Å.
Atoms (fractional coordinates):
Mg  0.0000  0.0000  0.0000  8 Sc 2.98, 2 Mg 3.17
Sc  0.5000  0.5000  0.0000  4 Mg 2.98, 2 Sc 3.17
Sc  0.5000  0.0000  0.5000  4 Mg 2.98, 2 Sc 3.17

Results
space group	P4/mmm
raw total energy	-4.49	eV per atom
formation energy from the elements	0.483	eV/atom
calculated volume	26.79	Å³ per atom

The following is a GGA-PBEsol calculation of a relaxed HfReBr3 crystal, from Alexandria via LeMat-Bulk.

abc: 5.1867 5.1867 5.1867
angles: 90.00 90.00 90.00
Last column: nearest neighbours and their distance in Å.
Atoms (fractional coordinates):
Re  0.5000  0.5000  0.5000  12 Br 3.67
Br  0.5000  0.0000  0.0000  2 Hf 2.59
Br  0.0000  0.0000  0.5000  2 Hf 2.59
Hf  0.0000  0.0000  0.0000  6 Br 2.59
Br  0.0000  0.5000  0.0000  2 Hf 2.59

Results
space group	Pm-3m
raw total energy	-5.09	eV per atom
calculated volume	27.91	Å³ per atom

no.,total magnetization (μB/cell)
1,0.00
2,0.00
3,0.00
4,0.00
5,0.00
6,0.00
7,0.00
8,0.00
9,0.00
10,2.46
11,0.01
12,4.98